Model one:
VASP calculation (GGA-PBE) on Sm2HfAg after structural relaxation.

N(E_F)   4.7 states/eV/cell
M_tot   0.00 μB per cell

abc: 11.761 11.761 11.761
angles: 15.83 15.83 15.83
Element x y z (fractional)
Sm 0.091 0.091 0.091
Sm 0.909 0.909 0.909
Hf 0.000 0.000 0.000
Ag 0.500 0.500 0.500



Model two:
VASP calculation (GGA-PBE) on Sm2HfAg after structural relaxation.

N(E_F)   3.7 states/eV/cell
M_tot   0.00 μB per cell

abc: 3.468 3.468 8.790
angles: 90.00 90.00 90.00
Element x y z (fractional)
Sm 0.000 0.000 0.239
Sm 0.000 0.000 0.761
Hf 0.500 0.500 0.500
Ag 0.500 0.500 0.000



Short version: model two is the most stable of them.